No. 1
DFT (PBE) results for crystalline HoAlZnPd2 at its relaxed geometry.

Properties
**DFT formation energy**: -630 meV per atom
**Total DFT energy (no corrections)**: -4.626 eV per atom
**DOS at the Fermi energy**: 2.3 states/eV/f.u.
**Size of the total moment**: 0.00 Bohr magnetons per cell

a b c (Å): 5.2842 13.2262 5.3687
angles (deg): 90.00 90.00 90.00
Closest atoms and distances in Å follow each position.
Space group Cmme (No. 67)
One atom of each set of equivalent atoms:
Ho1 0.0000 0.2500 0.2260 (multiplicity 4)  8 Pd 2.89-3.15
Al1 0.2500 0.0000 0.5000 (multiplicity 4)  4 Pd 2.57, 2 Al 2.64
Zn1 0.0000 0.0000 0.0000 (multiplicity 4)  2 Pd 2.51, 2 Zn 2.64
Pd1 0.0000 0.1456 0.6991 (multiplicity 8)  1 Zn 2.51, 2 Al 2.57, 1 Pd 2.76

***

No. 2
DFT (PBE) results for crystalline ZrRhCl4 at its relaxed geometry.

Properties
**Total DFT energy (no corrections)**: -3.213 eV per atom
**DOS at the Fermi energy**: 9.7 states/eV/f.u.
**Formation energy (no corrections)**: 668 meV/atom
**Size of the total moment**: 1.43 Bohr magnetons per cell

a b c (Å): 7.8576 7.8576 7.8576
angles (deg): 90.00 90.00 90.00
Closest atoms and distances in Å follow each position.
Space group F-43m (No. 216)
One atom of each set of equivalent atoms:
Zr1 0.0000 0.0000 0.0000 (multiplicity 4)  12 Cl 3.26, 4 Rh 3.40
Rh1 0.2500 0.2500 0.2500 (multiplicity 4)  12 Cl 3.26, 4 Zr 3.40
Cl1 0.1249 0.1249 0.6249 (multiplicity 16)  6 Cl 2.78

***

No. 3
DFT (PBE) results for crystalline Rb2Zn2Cl at its relaxed geometry.

Properties
**Total DFT energy (no corrections)**: -1.906 eV per atom
**DOS at the Fermi energy**: 1.6 states/eV/f.u.
**Formation energy (no corrections)**: -640 meV/atom
**Size of the total moment**: 0.00 Bohr magnetons per cell

a b c (Å): 3.9092 3.9092 20.6268
angles (deg): 90.00 90.00 90.00
Closest atoms and distances in Å follow each position.
Space group I4/mmm (No. 139)
One atom of each set of equivalent atoms:
Rb1 0.0000 0.0000 0.0962 (multiplicity 4)  4 Cl 3.40, 4 Zn 3.73
Zn1 0.0000 0.5000 0.2500 (multiplicity 4)  4 Zn 2.76
Cl1 0.0000 0.0000 0.5000 (multiplicity 2)  8 Rb 3.40

***

Look up the total DFT energy (no corrections) of the third one.
-1.906 eV per atom